[1]
Computed, not measured: crystalline BeCoF at its relaxed geometry at the GGA+U level of DFT.

Calculated values
As for the space group: Amm2, No. 38. The calculation puts the total moment at 6.9 μB per cell. The density of states at the Fermi level is 0.82 states/eV/f.u. For the distance to the lowest polymorph of the same formula, the calculation gives 0.258 eV per atom. The volume comes out at 143 Å³/cell. The total energy comes out at -4.432 eV per atom.

a b c (Å): 13.6381 2.4577 4.2573
angles (deg): 90.00 90.00 90.00
With the nearest neighbours (Å) after each atom.
Fractional positions:
1 Be 0.0000 0.0000 0.0000  6 Co 2.36, 6 Be 2.46
2 Be 0.0000 0.5000 0.5000  6 Co 2.36, 6 Be 2.46
3 Be 0.5000 0.0000 0.2224  6 F 1.77
4 Be 0.5000 0.5000 0.7224  6 F 1.77
5 Co 0.1386 0.0000 0.3334  3 Be 2.36, 6 Co 2.46
6 Co 0.1386 0.5000 0.8334  3 Be 2.36, 6 Co 2.46
7 Co 0.8614 0.0000 0.3334  3 Be 2.36, 6 Co 2.46
8 Co 0.8614 0.5000 0.8334  3 Be 2.36, 6 Co 2.46
9 F 0.4228 0.0000 0.8888  3 Be 1.77
10 F 0.4228 0.5000 0.3888  3 Be 1.77
11 F 0.5772 0.0000 0.8888  3 Be 1.77
12 F 0.5772 0.5000 0.3888  3 Be 1.77

***

[2]
Computed, not measured: crystalline BeCoF at its relaxed geometry at the GGA+U level of DFT.

Calculated values
As for the space group: P6_3/mmc, No. 194. The calculation puts the total moment at 4.0 μB per cell. The density of states at the Fermi level is 0.31 states/eV/f.u. For the distance to the lowest polymorph of the same formula, the calculation gives 0.766 eV per atom. The volume comes out at 68 Å³/cell. The total energy comes out at -3.923 eV per atom.

a b c (Å): 2.8365 2.8365 9.7339
angles (deg): 90.00 90.00 120.00
With the nearest neighbours (Å) after each atom.
Fractional positions:
1 Be 0.3333 0.6667 0.2500  3 F 1.64
2 Be 0.6667 0.3333 0.7500  3 F 1.64
3 Co 0.0000 0.0000 0.0000  2 F 2.43
4 Co 0.0000 0.0000 0.5000  2 F 2.43
5 F 0.0000 0.0000 0.2500  3 Be 1.64
6 F 0.0000 0.0000 0.7500  3 Be 1.64

***

[3]
Computed, not measured: crystalline BeCoF at its relaxed geometry at the GGA+U level of DFT.

Calculated values
As for the space group: P6_3/mmc, No. 194. The calculation puts the total moment at 4.0 μB per cell. The density of states at the Fermi level is 0.91 states/eV/f.u. For the distance to the lowest polymorph of the same formula, the calculation gives 1.124 eV per atom. The volume comes out at 66 Å³/cell. The total energy comes out at -3.566 eV per atom.

a b c (Å): 4.1791 4.1791 4.3645
angles (deg): 90.00 90.00 120.00
With the nearest neighbours (Å) after each atom.
Fractional positions:
1 Be 0.0000 0.0000 0.0000  2 Be 2.18
2 Be 0.0000 0.0000 0.5000  2 Be 2.18
3 Co 0.3333 0.6667 0.2500  5 F 2.18-2.41
4 Co 0.6667 0.3333 0.7500  5 F 2.18-2.41
5 F 0.3333 0.6667 0.7500  5 Co 2.18-2.41
6 F 0.6667 0.3333 0.2500  5 Co 2.18-2.41

***

[4]
Computed, not measured: crystalline BeCoF at its relaxed geometry at the GGA+U level of DFT.

Calculated values
As for the space group: P1, No. 1. The calculation puts the total moment at 1.7 μB per cell. The density of states at the Fermi level is 0.79 states/eV/f.u. For the distance to the lowest polymorph of the same formula, the calculation gives 0.203 eV per atom. The volume comes out at 37 Å³/cell. The total energy comes out at -4.487 eV per atom.

a b c (Å): 2.5229 2.5230 6.8576
angles (deg): 80.84 89.19 60.01
With the nearest neighbours (Å) after each atom.
Fractional positions:
1 Be 0.0000 0.0000 0.0000  3 F 1.71
2 Co 0.4012 0.1789 0.2826  3 Be 2.40, 6 Co 2.52
3 F 0.6355 0.7395 0.8675  3 Be 1.71

***

[5]
Computed, not measured: crystalline BeCoF at its relaxed geometry at the GGA+U level of DFT.

Calculated values
As for the space group: P-1, No. 2. The calculation puts the total moment at 2.9 μB per cell. The density of states at the Fermi level is 1.13 states/eV/f.u. For the distance to the lowest polymorph of the same formula, the calculation gives 0.000 eV per atom. The volume comes out at 60 Å³/cell. The total energy comes out at -4.690 eV per atom.

a b c (Å): 2.5320 2.5321 10.8412
angles (deg): 90.31 96.32 120.00
With the nearest neighbours (Å) after each atom.
Fractional positions:
1 Be 0.1587 0.0736 0.2286  3 F 1.72
2 Be 0.8413 0.9264 0.7714  3 F 1.72
3 Co 0.3955 0.1992 0.5947  3 Be 2.40, 9 Co 2.50-2.53
4 Co 0.6045 0.8008 0.4053  3 Be 2.40, 9 Co 2.50-2.53
5 F 0.2292 0.6222 0.8557  3 Be 1.72
6 F 0.7708 0.3778 0.1443  3 Be 1.72

***

[6]
Computed, not measured: crystalline Be2CoF6 at its relaxed geometry at the GGA+U level of DFT.

Calculated values
As for the space group: C2/c, No. 15. The calculation puts the total moment at 6.0 μB per cell. The density of states at the Fermi level is 0.00 states/eV/f.u. The volume comes out at 211 Å³/cell. The total energy comes out at -5.509 eV per atom.

a b c (Å): 6.5574 6.5574 5.2226
angles (deg): 104.40 104.40 84.82
With the nearest neighbours (Å) after each atom.
Fractional positions:
1 Be 0.1170 0.2781 0.2370  4 F 1.53-1.61
2 Be 0.2781 0.1170 0.7370  4 F 1.53-1.61
3 Be 0.7219 0.8830 0.2630  4 F 1.53-1.61
4 Be 0.8830 0.7219 0.7630  4 F 1.53-1.61
5 Co 0.3880 0.6120 0.7500  6 F 1.99-2.17
6 Co 0.6120 0.3880 0.2500  6 F 1.99-2.17
7 F 0.0992 0.6078 0.8055  1 Be 1.53
8 F 0.1376 0.1512 0.4610  2 Be 1.56-1.57
9 F 0.1512 0.1376 0.9610  2 Be 1.56-1.57
10 F 0.3073 0.4410 0.3515  1 Be 1.61
11 F 0.3922 0.9008 0.6945  1 Be 1.53
12 F 0.4410 0.3073 0.8515  1 Be 1.61
13 F 0.5590 0.6927 0.1485  1 Be 1.61
14 F 0.6078 0.0992 0.3055  1 Be 1.53
15 F 0.6927 0.5590 0.6485  1 Be 1.61
16 F 0.8488 0.8624 0.0390  2 Be 1.56-1.57
17 F 0.8624 0.8488 0.5390  2 Be 1.56-1.57
18 F 0.9008 0.3922 0.1945  1 Be 1.53

***

[7]
Computed, not measured: crystalline BeCoF at its relaxed geometry at the GGA+U level of DFT.

Calculated values
As for the space group: P4/nmm, No. 129. The calculation puts the total moment at 3.6 μB per cell. The density of states at the Fermi level is 0.67 states/eV/f.u. For the distance to the lowest polymorph of the same formula, the calculation gives 0.388 eV per atom. The volume comes out at 62 Å³/cell. The total energy comes out at -4.302 eV per atom.

a b c (Å): 3.2043 3.2043 5.9917
angles (deg): 90.00 90.00 90.00
With the nearest neighbours (Å) after each atom.
Fractional positions:
1 Be 0.2500 0.2500 0.1652  4 F 1.88
2 Be 0.7500 0.7500 0.8348  4 F 1.88
3 Co 0.2500 0.2500 0.5340  1 Be 2.21, 4 Co 2.30
4 Co 0.7500 0.7500 0.4660  1 Be 2.21, 4 Co 2.30
5 F 0.2500 0.7500 0.0000  4 Be 1.88
6 F 0.7500 0.2500 0.0000  4 Be 1.88

***

[8]
Computed, not measured: crystalline BeCoF at its relaxed geometry at the GGA+U level of DFT.

Calculated values
As for the space group: P4/nmm, No. 129. The calculation puts the total moment at 5.1 μB per cell. The density of states at the Fermi level is 0.78 states/eV/f.u. For the distance to the lowest polymorph of the same formula, the calculation gives 0.724 eV per atom. The volume comes out at 67 Å³/cell. The total energy comes out at -3.965 eV per atom.

a b c (Å): 3.1985 3.1985 6.5474
angles (deg): 90.00 90.00 90.00
With the nearest neighbours (Å) after each atom.
Fractional positions:
1 Be 0.2500 0.2500 0.0594  1 Co 2.31, 4 Be 2.39
2 Be 0.7500 0.7500 0.9406  1 Co 2.31, 4 Be 2.39
3 Co 0.2500 0.2500 0.7071  4 F 2.10, 1 Be 2.31
4 Co 0.7500 0.7500 0.2929  4 F 2.10, 1 Be 2.31
5 F 0.2500 0.7500 0.5000  4 Co 2.10, 4 F 2.26
6 F 0.7500 0.2500 0.5000  4 Co 2.10, 4 F 2.26

***

[9]
Computed, not measured: crystalline BeCoF at its relaxed geometry at the GGA+U level of DFT.

Calculated values
As for the space group: C2/m, No. 12. The calculation puts the total moment at 6.0 μB per cell. The density of states at the Fermi level is 1.09 states/eV/f.u. For the distance to the lowest polymorph of the same formula, the calculation gives 0.008 eV per atom. The volume comes out at 119 Å³/cell. The total energy comes out at -4.681 eV per atom.

a b c (Å): 4.3894 2.5345 10.8230
angles (deg): 90.00 97.98 90.00
With the nearest neighbours (Å) after each atom.
Fractional positions:
1 Be 0.0935 0.0000 0.2704  3 F 1.73
2 Be 0.4065 0.5000 0.7296  3 F 1.73
3 Be 0.5935 0.5000 0.2704  3 F 1.73
4 Be 0.9065 0.0000 0.7296  3 F 1.73
5 Co 0.1350 0.5000 0.9054  3 Be 2.38-2.39, 9 Co 2.50-2.53
6 Co 0.3650 0.0000 0.0946  3 Be 2.38-2.39, 9 Co 2.50-2.53
7 Co 0.6350 0.0000 0.9054  3 Be 2.38-2.39, 9 Co 2.50-2.53
8 Co 0.8650 0.5000 0.0946  3 Be 2.38-2.39, 9 Co 2.50-2.53
9 F 0.2120 0.0000 0.6438  3 Be 1.73
10 F 0.2880 0.5000 0.3562  3 Be 1.73
11 F 0.7120 0.5000 0.6438  3 Be 1.73
12 F 0.7880 0.0000 0.3562  3 Be 1.73

***

[10]
Computed, not measured: crystalline BeCoF at its relaxed geometry at the GGA+U level of DFT.

Calculated values
As for the space group: Pnma, No. 62. The calculation puts the total moment at 8.0 μB per cell. The density of states at the Fermi level is 0.33 states/eV/f.u. For the distance to the lowest polymorph of the same formula, the calculation gives 0.494 eV per atom. The volume comes out at 156 Å³/cell. The total energy comes out at -4.196 eV per atom.

a b c (Å): 5.7742 4.6042 5.8759
angles (deg): 90.00 90.00 90.00
With the nearest neighbours (Å) after each atom.
Fractional positions:
1 Be 0.0010 0.2500 0.1808  2 F 1.57
2 Be 0.4990 0.7500 0.6808  2 F 1.57
3 Be 0.5010 0.2500 0.3192  2 F 1.57
4 Be 0.9990 0.7500 0.8192  2 F 1.57
5 Co 0.0030 0.2500 0.5774  1 Be 2.33, 2 Co 2.48
6 Co 0.4970 0.7500 0.0774  1 Be 2.33, 2 Co 2.48
7 Co 0.5030 0.2500 0.9226  1 Be 2.33, 2 Co 2.48
8 Co 0.9970 0.7500 0.4226  1 Be 2.33, 2 Co 2.48
9 F 0.0000 0.0000 0.0000  2 Be 1.57
10 F 0.0000 0.5000 0.0000  2 Be 1.57
11 F 0.5000 0.0000 0.5000  2 Be 1.57
12 F 0.5000 0.5000 0.5000  2 Be 1.57

***

[11]
Computed, not measured: crystalline BeCo2F at its relaxed geometry at the GGA+U level of DFT.

Calculated values
As for the space group: I-42d, No. 122. The calculation puts the total moment at 16.2 μB per cell. The density of states at the Fermi level is 1.80 states/eV/f.u. For the distance to the lowest polymorph of the same formula, the calculation gives 0.000 eV per atom. The volume comes out at 190 Å³/cell. The total energy comes out at -3.893 eV per atom.

a b c (Å): 5.9916 5.9916 5.3049
angles (deg): 90.00 90.00 90.00
With the nearest neighbours (Å) after each atom.
Fractional positions:
1 Be 0.0000 0.0000 0.0000  4 Co 2.26
2 Be 0.0000 0.5000 0.2500  4 Co 2.26
3 Be 0.5000 0.0000 0.7500  4 Co 2.26
4 Be 0.5000 0.5000 0.5000  4 Co 2.26
5 Co 0.2397 0.2500 0.6250  2 F 2.18, 2 Be 2.26
6 Co 0.2500 0.7397 0.8750  2 F 2.18, 2 Be 2.26
7 Co 0.2500 0.7603 0.3750  2 F 2.18, 2 Be 2.26
8 Co 0.2603 0.2500 0.1250  2 F 2.18, 2 Be 2.26
9 Co 0.7397 0.7500 0.1250  2 F 2.18, 2 Be 2.26
10 Co 0.7500 0.2397 0.3750  2 F 2.18, 2 Be 2.26
11 Co 0.7500 0.2603 0.8750  2 F 2.18, 2 Be 2.26
12 Co 0.7603 0.7500 0.6250  2 F 2.18, 2 Be 2.26
13 F 0.0000 0.0000 0.5000  4 Co 2.18
14 F 0.0000 0.5000 0.7500  4 Co 2.18
15 F 0.5000 0.0000 0.2500  4 Co 2.18
16 F 0.5000 0.5000 0.0000  4 Co 2.18

***

[12]
Computed, not measured: crystalline BeCo3F at its relaxed geometry at the GGA+U level of DFT.

Calculated values
As for the space group: Pm-3m, No. 221. The calculation puts the total moment at 5.8 μB per cell. The density of states at the Fermi level is 1.73 states/eV/f.u. For the distance to the lowest polymorph of the same formula, the calculation gives 0.000 eV per atom. The volume comes out at 66 Å³/cell. The total energy comes out at -3.665 eV per atom.

a b c (Å): 4.0499 4.0499 4.0499
angles (deg): 90.00 90.00 90.00
With the nearest neighbours (Å) after each atom.
Fractional positions:
1 Be 0.0000 0.0000 0.0000  12 Co 2.86
2 Co 0.0000 0.5000 0.5000  2 F 2.02
3 Co 0.5000 0.0000 0.5000  2 F 2.02
4 Co 0.5000 0.5000 0.0000  2 F 2.02
5 F 0.5000 0.5000 0.5000  6 Co 2.02